The following is a DFT calculation (PBE) of crystalline PrHo7Mg4 at its relaxed geometry.

The structure in CIF format:
```
data_PrHo7Mg4
_space_group_name_H-M_alt 'P 1'
_space_group_IT_number 1
_cell_length_a 5.7177
_cell_length_b 9.8762
_cell_length_c 7.3459
_cell_angle_alpha 80.85
_cell_angle_beta 67.10
_cell_angle_gamma 73.17
loop_
_space_group_symop_operation_xyz
'x,y,z'
loop_
_atom_site_label
_atom_site_fract_x
_atom_site_fract_y
_atom_site_fract_z
_atom_site_occupancy
Ho1 0.0564 0.6161 0.2710 1
Ho2 0.7800 0.8807 0.5593 1
Ho3 0.3284 0.6095 0.7337 1
Ho4 0.2200 0.1193 0.4407 1
Ho5 0.9436 0.3839 0.7290 1
Ho6 0.6716 0.3905 0.2663 1
Ho7 0.5000 0.0000 0.0000 1
Pr1 0.0000 0.0000 0.0000 1
Mg1 0.3126 0.3341 0.0406 1
Mg2 0.4343 0.7836 0.3478 1
Mg3 0.5657 0.2164 0.6522 1
Mg4 0.6874 0.6659 0.9594 1
```

Summary:
E_form	0.229	eV per atom
space group	C2/m
crystal system	monoclinic